Entry 1:
Material: RbHg3H6
Method: DFT, PBE
State: optimized geometry

Cell lengths 12.9299, 12.9299, 7.6447 Å; angles 90.00, 90.00, 120.00 degrees
Space group R-3 (No. 148, hexagonal axes)
Inequivalent atoms, fractional coordinates:
Rb 0.0000 0.0000 0.0000 (multiplicity 3)
Rb 0.0000 0.0000 0.5000 (multiplicity 3)
Hg 0.9997 0.4262 0.2508 (multiplicity 18)
H 0.0442 0.8107 0.9182 (multiplicity 18)
H 0.0452 0.2340 0.4198 (multiplicity 18)

## Properties
Total DFT energy (no corrections) (eV/atom): -1.960
Total magnetic moment (μB/atom): 0.000

---

Entry 2:
Material: DyZrOsPt
Method: DFT, PBE
State: optimized geometry

Cell lengths 6.763, 6.763, 6.763 Å; angles 90.00, 90.00, 90.00 degrees
Space group F-43m (No. 216)
Inequivalent atoms, fractional coordinates:
Dy 0.000 0.000 0.000 (multiplicity 4)
Zr 0.000 0.000 0.500 (multiplicity 4)
Os 0.250 0.250 0.750 (multiplicity 4)
Pt 0.250 0.250 0.250 (multiplicity 4)

## Properties
Total DFT energy (no corrections) (eV/atom): -8.249
Total magnetic moment (μB/atom): 0.000

---

Entry 3:
Material: Ag2GePd
Method: DFT, PBE
State: optimized geometry

Cell lengths 2.8609, 2.8609, 30.5742 Å; angles 90.00, 90.00, 120.00 degrees
Space group R-3m (No. 166, hexagonal axes)
Inequivalent atoms, fractional coordinates:
Ag 0.0000 0.0000 0.0880 (multiplicity 6)
Ge 0.0000 0.0000 0.5000 (multiplicity 3)
Pd 0.0000 0.0000 0.0000 (multiplicity 3)

## Properties
Total DFT energy (no corrections) (eV/atom): -3.641
Total magnetic moment (μB/atom): 0.000

---

Entry 4:
Material: MgSbAu14
Method: DFT, PBE
State: optimized geometry

Cell lengths 9.532, 6.024, 10.305 Å; angles 90.00, 90.00, 90.00 degrees
Space group Amm2 (No. 38)
Inequivalent atoms, fractional coordinates:
Mg 0.000 0.000 0.000 (multiplicity 2)
Sb 0.000 0.000 0.496 (multiplicity 2)
Au 0.000 0.247 0.748 (multiplicity 4)
Au 0.246 0.000 0.169 (multiplicity 4)
Au 0.250 0.244 0.920 (multiplicity 8)
Au 0.256 0.000 0.671 (multiplicity 4)
Au 0.500 0.000 0.004 (multiplicity 2)
Au 0.500 0.000 0.501 (multiplicity 2)
Au 0.500 0.246 0.252 (multiplicity 4)

## Properties
E_form (uncorrected) (eV/f.u.): -0.88
Total magnetic moment (μB/atom): 0.000

---

Entry 5:
Material: CsCr
Method: DFT, PBE
State: optimized geometry

Cell lengths 13.8968, 13.8968, 3.3111 Å; angles 90.00, 90.00, 120.00 degrees
Space group P6_3/mmc (No. 194)
Inequivalent atoms, fractional coordinates:
Cs 0.2016 0.4033 0.2500 (multiplicity 6)
Cr 0.0543 0.5271 0.7500 (multiplicity 6)

## Properties
Relative energy among the computed polymorphs (meV per atom): 511
Total magnetic moment (μB/atom): 0.007

---

Entry 6:
Material: CaMnMoP2
Method: DFT, PBE
State: optimized geometry

Cell lengths 3.974, 3.974, 10.720 Å; angles 90.00, 90.00, 90.00 degrees
Space group I-4m2 (No. 119)
Inequivalent atoms, fractional coordinates:
Ca 0.000 0.000 0.000 (multiplicity 2)
Mn 0.000 0.500 0.250 (multiplicity 2)
Mo 0.000 0.500 0.750 (multiplicity 2)
P 0.000 0.000 0.374 (multiplicity 4)

## Properties
Relative energy among the computed polymorphs (meV per atom): 0
Total magnetic moment (μB/atom): 0.507

---

Question: What is the total magnetic moment in the fifth record?
Answer: 0.007 μB/atom